Material: Ba2Na5Bi3
Method: DFT, PBE
State: optimized geometry

uncorrected energy: -2.771 eV per atom
D(E_F): 0.18 states/eV per atom
density: 4.71 Mg/m³
calculated formation energy: -5.6 eV/f.u.

abc: 5.316 8.501 16.082
angles: 90.00 99.51 90.00
Element x y z (fractional)
Ba1 0.479 0.827 0.957
Ba2 0.185 0.675 0.370
Ba3 0.815 0.175 0.630
Ba4 0.521 0.327 0.043
Na1 0.403 0.441 0.806
Na2 0.282 0.433 0.564
Na3 0.718 0.933 0.436
Na4 0.122 0.268 0.245
Na5 0.300 0.838 0.600
Na6 0.940 0.161 0.879
Na7 0.700 0.338 0.400
Na8 0.878 0.768 0.755
Na9 0.060 0.661 0.121
Na10 0.597 0.941 0.194
Bi1 0.778 0.622 0.555
Bi2 0.616 0.560 0.233
Bi3 0.040 0.040 0.081
Bi4 0.222 0.122 0.445
Bi5 0.960 0.540 0.919
Bi6 0.384 0.060 0.767